Below is crystalline Ir2PbSe at its relaxed geometry, with properties calculated at the PBE level.

```
Ir2PbSe
1.0
4.3955 0.0043 -0.0037
3.3122 2.8896 -0.0037
1.2798 0.4805 6.0096
Ir Se Pb
2 1 1
direct
0.9955 0.9955 0.0632
0.5045 0.5045 0.4368
0.2500 0.2500 0.2500
0.7500 0.7500 0.7500
```

The formation energy (no corrections) comes out at 0.48 eV/atom. As for the symmetry: C2/m (12). Its size of the total moment is 0.00 μB/cell. The value obtained for the excess energy over the best structure of this formula in the dataset is 0.398 eV per atom. Its electronic total energy is -5.75 eV per atom.